Density functional theory data (PBE) for a relaxed LiMn2PbN crystal.

Values from the calculation:
- final energy (eV/atom) = -6.5877
- total magnetic moment (μB/f.u.) = 6.14
- uncorrected formation energy (kJ/mol of formula units) = -62.9
- N(E_F) (states/eV per cell) = 3.10
- symmetry = P4/mmm, No. 123

a = 3.998 Å, b = 3.998 Å, c = 4.345 Å
α = 90.00°, β = 90.00°, γ = 90.00°
Positions (direct):
Li 0.000 0.000 0.000
Mn 0.000 0.500 0.500
Mn 0.500 0.000 0.500
Pb 0.500 0.500 0.000
N 0.000 0.000 0.500